VASP calculation (GGA-PBEsol) on a relaxed FeTeAs crystal.

Cell and atoms, written as POSCAR:
```
FeTeAs
1.0
-4.481 -3.930 0.989
4.071 -4.157 1.921
-2.232 3.672 4.481
Te As Fe
4 4 4
Direct
0.866 0.841 0.179
0.366 0.159 0.321
0.134 0.159 0.821
0.634 0.841 0.679
0.356 0.638 0.885
0.644 0.362 0.115
0.856 0.362 0.615
0.144 0.638 0.385
0.509 0.238 0.715
0.009 0.762 0.785
0.991 0.238 0.215
0.491 0.762 0.285
```

Formation energy from raw total energies in eV per formula unit: -0.68
Total moment in μB per formula unit: 0.0


VASP calculation (GGA-PBEsol) on a relaxed FeTe2As crystal.

Cell and atoms, written as POSCAR:
```
FeTe2As
1.0
-2.128 2.572 0.163
-0.833 -0.992 4.770
3.717 2.995 1.272
Te Fe As
2 1 1
Direct
0.000 0.000 0.000
0.000 0.500 0.500
0.500 0.000 0.500
0.500 0.500 0.000
```

Formation energy from raw total energies in eV per formula unit: 2.17
Total moment in μB per formula unit: 2.8


VASP calculation (GGA-PBEsol) on a relaxed FeTe2As crystal.

Cell and atoms, written as POSCAR:
```
FeTe2As
1.0
4.900 0.000 0.001
-1.742 4.573 -0.026
-1.742 -2.156 4.033
Fe Te As
1 2 1
Direct
0.500 0.000 0.000
0.000 0.000 0.500
0.000 0.500 0.000
0.500 0.500 0.500
```

Formation energy from raw total energies in eV per formula unit: 1.49
Total moment in μB per formula unit: 2.9


VASP calculation (GGA-PBEsol) on a relaxed Fe2TeAs crystal.

Cell and atoms, written as POSCAR:
```
Fe2TeAs
1.0
3.111 0.000 0.000
0.000 3.111 0.000
0.000 0.000 6.999
Te As Fe
1 1 2
Direct
0.000 0.000 0.419
0.500 0.500 0.850
0.500 0.500 0.206
0.000 0.000 0.026
```

Formation energy from raw total energies in eV per formula unit: 0.28
Total moment in μB per formula unit: 4.4


VASP calculation (GGA-PBEsol) on a relaxed Fe2TeAs crystal.

Cell and atoms, written as POSCAR:
```
Fe2TeAs
1.0
-2.615 1.681 0.048
-1.790 -2.863 2.702
1.504 2.242 3.378
As Fe Te
1 2 1
Direct
0.500 0.500 0.500
0.000 0.500 0.000
0.000 0.000 0.500
0.500 0.000 0.000
```

Formation energy from raw total energies in eV per formula unit: 1.17
Total moment in μB per formula unit: 3.1


VASP calculation (GGA-PBEsol) on a relaxed Fe2TeAs crystal.

Cell and atoms, written as POSCAR:
```
Fe2TeAs
1.0
-0.660 -4.194 -0.894
-1.035 -2.760 3.184
-4.003 -1.660 0.217
Te Fe As
1 2 1
Direct
0.500 0.500 0.500
0.250 0.250 0.250
0.750 0.750 0.750
0.000 0.000 0.000
```

Formation energy from raw total energies in eV per formula unit: 1.09
Total moment in μB per formula unit: 3.0


VASP calculation (GGA-PBEsol) on a relaxed Fe3TeAs crystal.

Cell and atoms, written as POSCAR:
```
Fe3TeAs
1.0
4.633 0.000 0.000
0.000 4.633 0.000
0.000 0.000 4.633
Fe Te As
3 1 1
Direct
0.000 0.500 0.000
0.500 0.000 0.000
0.000 0.000 0.500
0.000 0.000 0.000
0.500 0.500 0.500
```

Formation energy from raw total energies in eV per formula unit: 6.87
Total moment in μB per formula unit: 7.0


VASP calculation (GGA-PBEsol) on a relaxed TiFeAs2 crystal.

Cell and atoms, written as POSCAR:
```
TiFeAs2
1.0
-0.752 0.743 4.186
-3.624 -1.462 1.835
0.175 -3.251 2.835
As Fe Ti
2 1 1
Direct
0.250 0.250 0.250
0.750 0.750 0.750
0.500 0.500 0.500
0.000 0.000 0.000
```

Total moment in μB per formula unit: 2.1
Energy of formation in eV/atom: -0.266


VASP calculation (GGA-PBEsol) on a relaxed Ti3FeAs crystal.

Cell and atoms, written as POSCAR:
```
Ti3FeAs
1.0
-0.331 -4.151 -1.933
0.320 -1.954 4.142
-4.568 0.164 0.430
Fe Ti As
1 3 1
Direct
0.500 0.500 0.500
0.000 0.500 0.000
0.500 0.000 0.000
0.000 0.000 0.500
0.000 0.000 0.000
```

Total moment in μB per formula unit: 2.5
Energy of formation in eV/atom: 0.499


VASP calculation (GGA-PBEsol) on a relaxed UFeAs2 crystal.

Cell and atoms, written as POSCAR:
```
UFeAs2
1.0
3.930 0.000 0.000
0.000 3.930 0.000
0.000 0.000 8.560
Fe U As
2 2 4
Direct
0.500 0.500 0.500
0.000 0.000 0.500
0.000 0.500 0.742
0.500 0.000 0.258
0.000 0.500 0.340
0.000 0.000 0.000
0.500 0.500 0.000
0.500 0.000 0.660
```

Total moment in μB per formula unit: 0.0
Energy of formation in eV/atom: -0.536


VASP calculation (GGA-PBEsol) on a relaxed FeAsW2 crystal.

Cell and atoms, written as POSCAR:
```
FeAsW2
1.0
2.953 0.000 0.000
0.000 4.359 0.000
0.000 0.000 4.359
W As Fe
2 1 1
Direct
0.000 0.000 0.500
0.000 0.500 0.000
0.500 0.500 0.500
0.500 0.000 0.000
```

Total moment in μB per formula unit: 1.9
Energy of formation in eV/atom: 0.303


VASP calculation (GGA-PBEsol) on a relaxed Fe2As2W crystal.

Cell and atoms, written as POSCAR:
```
Fe2As2W
1.0
-0.397 3.633 -0.826
-1.809 -0.914 -3.151
-3.039 -1.277 4.343
As W Fe
2 1 2
Direct
0.377 0.377 0.753
0.623 0.623 0.247
0.000 0.000 0.000
0.750 0.250 0.500
0.250 0.750 0.500
```

Total moment in μB per formula unit: 0.0
Energy of formation in eV/atom: 0.417